No. 1
This record from Alexandria via LeMat-Bulk describes a relaxed structure of PmDy2Be. The functional is PBE.

Computed properties:
Relative energy among the computed polymorphs ... 0.000 eV/atom
E_form ... 0.070 eV/atom

a = 3.474 Å, b = 3.474 Å, c = 8.694 Å
α = 90.00°, β = 90.00°, γ = 90.00°
Sites, in units of the cell vectors:
Be (0.500, 0.500, 0.000)
Pm (0.500, 0.500, 0.500)
Dy (0.000, 0.000, 0.810)
Dy (0.000, 0.000, 0.190)

No. 2
This record from Alexandria via LeMat-Bulk describes a relaxed structure of Na2Tl2H4Ir. The functional is PBE.

Computed properties:
E ... -29.3 eV/cell

a = 5.953 Å, b = 5.953 Å, c = 5.953 Å
α = 92.71°, β = 118.45°, γ = 118.45°
Sites, in units of the cell vectors:
Na (0.500, 0.750, 0.250)
Na (0.500, 0.250, 0.750)
Tl (0.000, 0.674, 0.674)
Tl (0.000, 0.326, 0.326)
H (0.000, 0.802, 0.198)
H (0.603, 0.802, 0.802)
H (0.000, 0.198, 0.802)
H (0.397, 0.198, 0.198)
Ir (0.000, 0.000, 0.000)

No. 3
This record from Alexandria via LeMat-Bulk describes a relaxed structure of K3ScB. The functional is PBE.

Computed properties:
Relative energy among the computed polymorphs ... 0.527 eV/atom
E_form ... 1.803 eV/atom

a = 6.935 Å, b = 6.935 Å, c = 6.935 Å
α = 90.00°, β = 90.00°, γ = 90.00°
Last column: magnetic moment on the atom in μB.
Sites, in units of the cell vectors:
Sc (0.000, 0.000, 0.000)  1.20
K (0.000, 0.500, 0.000)  0.04
K (0.000, 0.000, 0.500)  0.04
K (0.500, 0.000, 0.000)  0.04
B (0.500, 0.500, 0.500)  0.48

No. 4
This record from Alexandria via LeMat-Bulk describes a relaxed structure of Pb2Se. The functional is PBE.

Computed properties:
Relative energy among the computed polymorphs ... 0.280 eV/atom
E_form (uncorrected) ... 0.04 eV/atom

a = 5.200 Å, b = 5.200 Å, c = 5.200 Å
α = 60.00°, β = 60.00°, γ = 60.00°
Sites, in units of the cell vectors:
Pb (0.250, 0.250, 0.250)
Pb (0.750, 0.750, 0.750)
Se (0.000, 0.000, 0.000)

These records have DOS(E_F) values of 4.39, 3.64, 6.82, 3.18 states/eV per cell, in the order they appear.